1.
The following is a PBE calculation of a relaxed GeW2S crystal, from the Alexandria database.

a b c (Å): 8.953 8.953 8.953
angles (deg): 154.10 154.10 36.95
Positions (direct):
Ge (0.000, 0.000, 0.000)
Ge (0.750, 0.250, 0.500)
W (0.162, 0.625, 0.037)
W (0.375, 0.412, 0.537)
W (0.588, 0.125, 0.963)
W (0.875, 0.838, 0.463)
S (0.250, 0.750, 0.500)
S (0.500, 0.500, 0.000)

- Symmetry: I-42d, No. 122
- Excess energy over the best structure of this formula in the dataset: 255.3 meV/atom
- Total magnetic moment: 0.00 μB/atom
- D(E_F): 0.766 states/eV/atom


2.
The following is a PBE calculation of a relaxed GeWS2 crystal, from the Alexandria database.

a b c (Å): 6.682 6.682 6.682
angles (deg): 127.76 127.76 77.01
Positions (direct):
Ge (0.000, 0.000, 0.000)
Ge (0.750, 0.250, 0.500)
W (0.250, 0.750, 0.500)
W (0.500, 0.500, 0.000)
S (0.175, 0.625, 0.050)
S (0.375, 0.425, 0.550)
S (0.575, 0.125, 0.950)
S (0.875, 0.825, 0.450)

- Symmetry: I-42d, No. 122
- Total magnetic moment: 0.00 μB/atom
- D(E_F): 0.164 states/eV/atom


| no. | E_tot (eV/atom) |
| --- | --- |
| 1 | -8.04 |
| 2 | -6.17 |